The following is a PBE+U calculation of a relaxed K4Mn3TlF12 crystal, from Alexandria via LeMat-Bulk.

The structure belongs to space group Im-3m (No. 229); the cell edges are 8.773, 8.773 and 8.773 Å and the angles 90.00°, 90.00° and 90.00°. The asymmetric unit holds K at (0.250, 0.250, 0.250), Mn at (0.000, 0.000, 0.500), Tl at (0.000, 0.000, 0.000), F at (0.000, 0.000, 0.272) and F at (0.000, 0.250, 0.500).

For the uncorrected energy, the calculation gives -207.14 eV for the cell shown. Its density of states at the Fermi level is 1.21 states/eV/f.u.